No. 1
{"formula": "Tm5Zn2Hg", "functional": "GGA-PBE", "state": "optimized geometry", "lattice": [[-5.1885, -3.2463, 3.9709], [4.8067, -5.0481, 2.1537], [2.0472, 8.4504, 2.8811]], "species": ["Tm", "Tm", "Tm", "Tm", "Tm", "Tm", "Tm", "Tm", "Tm", "Tm", "Hg", "Hg", "Zn", "Zn", "Zn", "Zn"], "fractional_positions": [[0.5000, 0.5000, 0.0000], [0.0000, 0.0000, 0.0000], [0.6823, 0.1823, 0.7031], [0.8177, 0.9792, 0.2969], [0.1823, 0.0208, 0.7031], [0.0208, 0.5208, 0.7031], [0.3177, 0.8177, 0.2969], [0.4792, 0.3177, 0.2969], [0.5208, 0.6823, 0.7031], [0.9792, 0.4792, 0.2969], [0.7500, 0.7500, 0.5000], [0.2500, 0.2500, 0.5000], [0.3775, 0.8775, 0.0000], [0.6225, 0.1225, 0.0000], [0.8775, 0.6225, 0.0000], [0.1225, 0.3775, 0.0000]], "spacegroup": "I4/mcm (140)", "vol_a3_per_cell": 402.9, "total_magnetization_mub_per_cell": 0.0, "dos_ef_per_ev_cell": 12.42, "delta_e_f_ev_per_atom": -0.284}

=====

No. 2
{"formula": "Tm3Zn2Hg4", "functional": "GGA-PBE", "state": "optimized geometry", "lattice": [[-1.2426, -4.2335, -1.7905], [2.4974, -0.2984, 5.3038], [-8.5030, 2.5026, -0.0160]], "species": ["Tm", "Tm", "Tm", "Hg", "Hg", "Hg", "Hg", "Zn", "Zn"], "fractional_positions": [[0.6634, 0.3268, 0.6682], [0.0000, 0.0000, 0.0000], [0.3366, 0.6732, 0.3318], [0.7058, 0.4117, 0.0535], [0.0705, 0.1409, 0.3940], [0.9295, 0.8591, 0.6060], [0.2942, 0.5883, 0.9465], [0.3894, 0.7788, 0.7168], [0.6106, 0.2212, 0.2832]], "spacegroup": "C2/m (12)", "vol_a3_per_cell": 200.6, "total_magnetization_mub_per_cell": 0.0, "dos_ef_per_ev_cell": 4.39, "delta_e_f_ev_per_atom": -0.380}

=====

No. 3
{"formula": "TmZnHg", "functional": "GGA-PBE", "state": "optimized geometry", "lattice": [[4.6275, 0.0000, 0.0000], [2.3138, 4.0076, 0.0000], [2.3138, 1.3359, 3.7784]], "species": ["Tm", "Hg", "Zn"], "fractional_positions": [[0.0000, 0.0000, 0.0000], [0.5000, 0.5000, 0.5000], [0.2500, 0.2500, 0.2500]], "spacegroup": "F-43m (216)", "vol_a3_per_cell": 70.1, "total_magnetization_mub_per_cell": 0.0, "dos_ef_per_ev_cell": 3.21, "delta_e_f_ev_per_atom": -0.204}

=====

No. 4
{"formula": "Tm6Zn2Hg", "functional": "GGA-PBE", "state": "optimized geometry", "lattice": [[4.9112, 0.0000, 0.0000], [0.0000, 4.9112, 0.0000], [-2.4556, -2.4556, 10.5358]], "species": ["Tm", "Tm", "Tm", "Tm", "Tm", "Tm", "Hg", "Zn", "Zn"], "fractional_positions": [[0.4132, 0.9132, 0.8263], [0.0868, 0.5868, 0.1737], [0.2500, 0.7500, 0.5000], [0.7500, 0.2500, 0.5000], [0.5868, 0.0868, 0.1737], [0.9132, 0.4132, 0.8263], [0.0000, 0.0000, 0.0000], [0.6671, 0.6671, 0.3343], [0.3329, 0.3329, 0.6657]], "polymorph_energy_mev_per_atom": 214.0, "spacegroup": "I4/mmm (139)", "vol_a3_per_cell": 254.1, "total_magnetization_mub_per_cell": 0.0, "dos_ef_per_ev_cell": 8.80, "delta_e_f_ev_per_atom": -0.030}

=====

No. 5
{"formula": "Tm2Zn3Hg", "functional": "GGA-PBE", "state": "optimized geometry", "lattice": [[5.6635, -0.6828, 0.0000], [-0.9022, 5.6327, 0.0000], [-2.3806, -2.4750, 7.8890]], "species": ["Tm", "Tm", "Tm", "Tm", "Zn", "Zn", "Zn", "Zn", "Zn", "Zn", "Hg", "Hg"], "fractional_positions": [[0.2499, 0.2499, 0.0000], [0.2500, 0.7500, 0.5000], [0.7501, 0.7501, 0.0000], [0.7500, 0.2500, 0.5000], [0.1614, 0.1614, 0.3228], [0.8382, 0.3235, 0.1617], [0.6765, 0.1618, 0.8383], [0.3235, 0.8382, 0.1617], [0.8386, 0.8386, 0.6772], [0.1618, 0.6765, 0.8383], [0.3336, 0.3336, 0.6673], [0.6664, 0.6664, 0.3327]], "polymorph_energy_mev_per_atom": 0.0, "spacegroup": "Fmmm (69)", "vol_a3_per_cell": 246.8, "total_magnetization_mub_per_cell": 0.0, "dos_ef_per_ev_cell": 6.41, "delta_e_f_ev_per_atom": -0.383}

=====

No. 6
{"formula": "Tm2ZnHg8", "functional": "GGA-PBE", "state": "optimized geometry", "lattice": [[-0.0307, -1.4582, 4.3384], [4.4759, -0.9158, -0.2762], [2.5930, 11.5019, 3.8843]], "species": ["Hg", "Hg", "Hg", "Hg", "Hg", "Hg", "Hg", "Hg", "Zn", "Tm", "Tm"], "fractional_positions": [[0.0000, 0.5000, 0.1301], [0.5000, 0.0000, 0.5000], [0.5000, 0.0000, 0.1301], [0.5000, 0.0000, 0.8699], [0.5000, 0.5000, 0.3135], [0.0000, 0.5000, 0.8699], [0.5000, 0.5000, 0.6865], [0.0000, 0.5000, 0.5000], [0.0000, 0.0000, 0.0000], [0.0000, 0.0000, 0.3074], [0.0000, 0.0000, 0.6926]], "spacegroup": "P4/mmm (123)", "vol_a3_per_cell": 260.1, "total_magnetization_mub_per_cell": 0.0, "dos_ef_per_ev_cell": 6.28, "delta_e_f_ev_per_atom": -0.205}

=====

No. 7
{"formula": "TmZnHg", "functional": "GGA-PBE", "state": "optimized geometry", "lattice": [[4.6567, 0.0000, 0.0000], [2.3284, 5.3053, 0.2564], [2.3284, 0.6489, 5.2697]], "species": ["Zn", "Zn", "Tm", "Tm", "Hg", "Hg"], "fractional_positions": [[0.1559, 0.8433, 0.8449], [0.8441, 0.1567, 0.1551], [0.4993, 0.7499, 0.2515], [0.5007, 0.2501, 0.7485], [0.8228, 0.6762, 0.6783], [0.1772, 0.3238, 0.3217]], "spacegroup": "C2/m (12)", "vol_a3_per_cell": 129.4, "total_magnetization_mub_per_cell": 0.0, "dos_ef_per_ev_cell": 3.00, "delta_e_f_ev_per_atom": -0.381}

=====

No. 8
{"formula": "TmZnHg", "functional": "GGA-PBE", "state": "optimized geometry", "lattice": [[4.6653, -0.0013, 0.0000], [-2.3321, 4.0407, 0.0000], [0.0000, 0.0000, 6.8495]], "species": ["Tm", "Tm", "Hg", "Hg", "Zn", "Zn"], "fractional_positions": [[0.0000, 0.5000, 0.5000], [0.0000, 0.5000, 0.0000], [0.3332, 0.1668, 0.7500], [0.6668, 0.8332, 0.2500], [0.3335, 0.1665, 0.2500], [0.6665, 0.8335, 0.7500]], "spacegroup": "P6_3/mmc (194)", "vol_a3_per_cell": 129.1, "total_magnetization_mub_per_cell": 0.0, "dos_ef_per_ev_cell": 3.56, "delta_e_f_ev_per_atom": -0.386}